Entry 1:
Density functional theory data (PBE) for BaCaEuBiO6 after structural relaxation.

Results
**Formation energy from raw total energies**: -2.05 eV per atom
**E above lowest polymorph**: 117.9 meV/atom
**Space-group type**: F-43m (216)
**Final energy**: -68.31 eV/cell
**Total moment**: 6.00 μB per formula unit

a = 6.157 Å, b = 6.157 Å, c = 6.157 Å
α = 60.00°, β = 60.00°, γ = 60.00°
Last column: magnetic moment on the atom in μB.
Positions (direct):
O 0.243 0.757 0.243  -0.04
O 0.757 0.243 0.757  -0.04
O 0.757 0.757 0.243  -0.04
O 0.243 0.757 0.757  -0.04
O 0.757 0.243 0.243  -0.04
O 0.243 0.243 0.757  -0.04
Ca 0.750 0.750 0.750  0.00
Ba 0.250 0.250 0.250  0.00
Bi 0.000 0.000 0.000  0.00
Eu 0.500 0.500 0.500  6.16

***

Entry 2:
Density functional theory data (PBE) for BaCaEuBiO6 after structural relaxation.

Results
**Formation energy from raw total energies**: -2.17 eV per atom
**E above lowest polymorph**: 0.0 meV/atom
**Space-group type**: P-1 (2)
**Final energy**: -138.98 eV/cell
**Total moment**: 6.00 μB per formula unit

a = 6.043 Å, b = 6.103 Å, c = 8.674 Å
α = 90.01°, β = 90.15°, γ = 90.30°
Last column: magnetic moment on the atom in μB.
Positions (direct):
O 0.107 0.495 0.761  -0.05
O 0.293 0.316 0.065  -0.05
O 0.893 0.505 0.239  -0.05
O 0.680 0.704 0.561  -0.05
O 0.707 0.684 0.935  -0.05
O 0.793 0.192 0.521  -0.05
O 0.207 0.808 0.479  -0.05
O 0.190 0.792 0.027  -0.05
O 0.440 0.075 0.740  -0.05
O 0.320 0.296 0.439  -0.05
O 0.810 0.208 0.973  -0.05
O 0.560 0.925 0.260  -0.05
Ba 0.008 0.033 0.250  0.00
Ba 0.992 0.967 0.750  0.00
Eu 0.000 0.500 0.500  6.23
Eu 0.500 0.000 0.000  6.24
Ca 0.502 0.532 0.252  0.00
Ca 0.498 0.468 0.748  0.00
Bi 0.000 0.500 0.000  0.01
Bi 0.500 0.000 0.500  0.01

***

Entry 3:
Density functional theory data (PBE) for Ba2Ca4Bi3F2 after structural relaxation.

Results
**Formation energy from raw total energies**: -1.66 eV per atom
**Space-group type**: I4/mmm (139)
**Final energy**: -45.54 eV/cell
**Total moment**: 0.86 μB per formula unit

a = 4.983 Å, b = 4.983 Å, c = 14.059 Å
α = 100.21°, β = 100.21°, γ = 90.00°
Last column: magnetic moment on the atom in μB.
Positions (direct):
Ca 0.079 0.579 0.158  0.01
Ca 0.579 0.079 0.158  0.01
Ca 0.921 0.421 0.842  0.01
Ca 0.421 0.921 0.842  0.01
F 0.416 0.416 0.832  0.00
F 0.584 0.584 0.168  0.00
Bi 0.000 0.000 0.000  0.00
Bi 0.838 0.838 0.675  -0.02
Bi 0.162 0.162 0.325  -0.02
Ba 0.700 0.700 0.401  0.12
Ba 0.300 0.300 0.599  0.12

***

Entry 4:
Density functional theory data (PBE) for BaCaBiF7 after structural relaxation.

Results
**Formation energy from raw total energies**: -3.30 eV per atom
**Space-group type**: P2_1/c (14)
**Final energy**: -215.78 eV/cell
**Total moment**: 0.00 μB per formula unit

a = 11.045 Å, b = 5.906 Å, c = 9.975 Å
α = 87.53°, β = 90.00°, γ = 90.00°
Positions (direct):
F 0.498 0.504 0.648
F 0.526 0.009 0.337
F 0.786 0.841 0.514
F 0.476 0.844 0.089
F 0.024 0.844 0.589
F 0.717 0.992 0.753
F 0.783 0.992 0.253
F 0.026 0.991 0.163
F 0.622 0.408 0.104
F 0.283 0.008 0.247
F 0.878 0.408 0.604
F 0.214 0.159 0.486
F 0.217 0.008 0.747
F 0.378 0.592 0.896
F 0.714 0.841 0.014
F 0.974 0.009 0.837
F 0.122 0.592 0.396
F 0.474 0.991 0.663
F 0.217 0.480 0.679
F 0.502 0.496 0.352
F 0.524 0.156 0.911
F 0.998 0.496 0.852
F 0.002 0.504 0.148
F 0.976 0.156 0.411
F 0.286 0.159 0.986
F 0.283 0.480 0.179
F 0.717 0.520 0.821
F 0.783 0.520 0.321
Ba 0.836 0.250 0.018
Ba 0.664 0.250 0.518
Ba 0.164 0.750 0.982
Ba 0.336 0.750 0.482
Bi 0.932 0.788 0.357
Bi 0.068 0.212 0.643
Bi 0.432 0.212 0.143
Bi 0.568 0.788 0.857
Ca 0.129 0.275 0.273
Ca 0.629 0.725 0.227
Ca 0.371 0.275 0.773
Ca 0.871 0.725 0.727

***

Entry 5:
Density functional theory data (PBE) for BaCa2FeBi after structural relaxation.

Results
**E_form**: 1.074 eV/atom
**Space-group type**: P4/mmm (123)
**Final energy**: -12.90 eV/cell
**Total moment**: 0.00 μB per formula unit

a = 6.077 Å, b = 4.620 Å, c = 6.077 Å
α = 90.00°, β = 90.00°, γ = 90.00°
Positions (direct):
Ca 0.500 0.000 0.000
Ca 0.000 0.000 0.500
Fe 0.000 0.500 0.000
Ba 0.000 0.000 0.000
Bi 0.500 0.500 0.500

***

Entry 6:
Density functional theory data (PBE) for BaCaGaBiO6 after structural relaxation.

Results
**Formation energy from raw total energies**: -1.84 eV per atom
**Space-group type**: F-43m (216)
**Final energy**: -59.02 eV/cell
**Total moment**: 0.00 μB per formula unit

a = 5.816 Å, b = 5.816 Å, c = 5.816 Å
α = 60.00°, β = 60.00°, γ = 60.00°
Positions (direct):
O 0.743 0.257 0.743
O 0.257 0.743 0.257
O 0.257 0.257 0.743
O 0.257 0.743 0.743
O 0.743 0.743 0.257
O 0.743 0.257 0.257
Ba 0.250 0.250 0.250
Bi 0.000 0.000 0.000
Ga 0.500 0.500 0.500
Ca 0.750 0.750 0.750

***

Entry 7:
Density functional theory data (PBE) for BaCaGdBiO6 after structural relaxation.

Results
**Formation energy from raw total energies**: -2.36 eV per atom
**E above lowest polymorph**: 0.0 meV/atom
**Space-group type**: P-1 (2)
**Final energy**: -150.56 eV/cell
**Total moment**: 6.96 μB per formula unit

a = 6.021 Å, b = 6.069 Å, c = 8.640 Å
α = 89.97°, β = 89.94°, γ = 90.21°
Last column: magnetic moment on the atom in μB.
Positions (direct):
O 0.705 0.686 0.062  0.00
O 0.899 0.509 0.759  0.00
O 0.683 0.703 0.440  0.00
O 0.557 0.927 0.742  0.00
O 0.807 0.208 0.023  0.00
O 0.101 0.491 0.241  0.00
O 0.793 0.195 0.481  0.00
O 0.443 0.073 0.258  0.00
O 0.207 0.805 0.519  0.00
O 0.193 0.792 0.977  0.00
O 0.295 0.314 0.938  0.00
O 0.317 0.297 0.560  0.00
Ca 0.496 0.470 0.251  0.00
Ca 0.504 0.530 0.749  0.00
Bi 0.500 0.000 0.500  0.01
Bi 0.000 0.500 0.000  0.01
Ba 0.992 0.971 0.250  0.00
Ba 0.008 0.029 0.750  0.00
Gd 0.500 0.000 0.000  6.89
Gd 0.000 0.500 0.500  6.89

***

Entry 8:
Density functional theory data (PBE) for BaCaGdBiO6 after structural relaxation.

Results
**Formation energy from raw total energies**: -2.25 eV per atom
**E above lowest polymorph**: 111.1 meV/atom
**Space-group type**: F-43m (216)
**Final energy**: -74.17 eV/cell
**Total moment**: 6.99 μB per formula unit

a = 6.140 Å, b = 6.140 Å, c = 6.140 Å
α = 60.00°, β = 60.00°, γ = 60.00°
Last column: magnetic moment on the atom in μB.
Positions (direct):
O 0.757 0.243 0.757  0.00
O 0.243 0.757 0.243  0.00
O 0.757 0.757 0.243  0.00
O 0.243 0.243 0.757  0.00
O 0.757 0.243 0.243  0.00
O 0.243 0.757 0.757  0.00
Ba 0.750 0.750 0.750  0.00
Ca 0.250 0.250 0.250  0.00
Bi 0.000 0.000 0.000  0.01
Gd 0.500 0.500 0.500  6.88

***

Entry 9:
Density functional theory data (PBE) for BaCa2BiH after structural relaxation.

Results
**Space-group type**: P4/mmm (123)
**Final energy**: -15.46 eV/cell
**Total moment**: 0.00 μB per formula unit

a = 5.223 Å, b = 5.223 Å, c = 5.337 Å
α = 90.00°, β = 90.00°, γ = 90.00°
Positions (direct):
H 0.000 0.000 0.000
Ca 0.500 0.000 0.000
Ca 0.000 0.500 0.000
Bi 0.500 0.500 0.500
Ba 0.000 0.000 0.500

***

Entry 10:
Density functional theory data (PBE) for BaCaBiH2 after structural relaxation.

Results
**Space-group type**: Cmcm (63)
**Final energy**: -34.82 eV/cell
**Total moment**: 0.00 μB per formula unit

a = 5.005 Å, b = 7.072 Å, c = 7.398 Å
α = 90.00°, β = 90.00°, γ = 110.72°
Positions (direct):
H 0.830 0.659 0.441
H 0.170 0.341 0.941
H 0.170 0.341 0.559
H 0.830 0.659 0.059
Bi 0.555 0.110 0.250
Bi 0.445 0.890 0.750
Ca 0.000 0.000 0.000
Ca 0.000 0.000 0.500
Ba 0.724 0.447 0.750
Ba 0.276 0.553 0.250